Material: MnSe
Method: DFT, PBE
State: relaxed

For the uncorrected formation energy, the calculation gives -0.60 eV per formula unit. Its density of states at the Fermi level is 2.23 states/eV per cell.

a b c (Å): 3.287 3.287 6.911
angles (deg): 90.00 90.00 90.00
Fractional coordinates of all 4 atoms:
1 Mn 0.250 0.250 0.111
2 Mn 0.750 0.750 0.889
3 Se 0.250 0.250 0.743
4 Se 0.750 0.750 0.257